Entry 1:
Here is an optimized crystal structure of Fe2TcCl from Alexandria via LeMat-Bulk. Energies are from PBE.

Cell and atoms, written as POSCAR:
```
Fe2TcCl
1.0
3.550 -1.424 0.000
3.550 1.424 0.000
-0.296 0.000 6.697
Fe Tc Cl
2 1 1
direct
0.000 0.000 0.000
0.715 0.715 0.189
0.454 0.454 0.358
0.979 0.979 0.659
```

Computed properties:
Formation energy from raw total energies, meV per atom: 399
Magnetic moment, μB/f.u.: 3.4
Crystal system: monoclinic
Calculated density, g/cm3: 6.01
Total energy, eV per atom: -6.885
Energy above the most stable polymorph in this dataset, meV per atom: 132

=====

Entry 2:
Here is an optimized crystal structure of Fe2TcCl from Alexandria via LeMat-Bulk. Energies are from PBE.

Cell and atoms, written as POSCAR:
```
Fe2TcCl
1.0
3.686 0.000 0.000
0.000 3.686 0.000
0.000 0.000 4.186
Fe Tc Cl
2 1 1
direct
0.000 0.500 0.000
0.500 0.000 0.000
0.000 0.000 0.500
0.500 0.500 0.500
```

Computed properties:
Formation energy from raw total energies, meV per atom: 916
Magnetic moment, μB/f.u.: 6.9
Crystal system: tetragonal
Calculated density, g/cm3: 7.16
Total energy, eV per atom: -6.368
Energy above the most stable polymorph in this dataset, meV per atom: 649

=====

Entry 3:
Here is an optimized crystal structure of Fe2TcCl from Alexandria via LeMat-Bulk. Energies are from PBE.

Cell and atoms, written as POSCAR:
```
Fe2TcCl
1.0
-1.900 1.900 3.822
1.900 -1.900 3.822
1.900 1.900 -3.822
Fe Tc Cl
2 1 1
direct
0.000 0.000 0.000
0.750 0.250 0.500
0.250 0.750 0.500
0.500 0.500 0.000
```

Computed properties:
Formation energy from raw total energies, meV per atom: 899
Magnetic moment, μB/f.u.: 5.1
Crystal system: tetragonal
Calculated density, g/cm3: 7.37
Total energy, eV per atom: -6.386
Energy above the most stable polymorph in this dataset, meV per atom: 631